No. 1
Material: MnCuCSeN
Method: DFT, PBE
State: optimized geometry

Results
Its total energy is -6.68 eV/atom. The calculation puts the energy above the lowest structure with this stoichiometry at 0.067 eV/atom. The value obtained for the uncorrected formation energy is 177 meV per atom.

Cell lengths 7.341, 3.202, 7.314 Å; angles 90.00, 83.51, 90.00 degrees
Last column: magnetic moment on the atom in μB.
Positions (direct):
Mn 0.614 0.000 0.752  3.91
Mn 0.614 0.500 0.252  3.91
Cu 0.116 0.500 0.088  0.05
Cu 0.116 0.000 0.588  0.05
Se 0.434 0.000 0.469  -0.03
Se 0.434 0.500 0.969  -0.03
N 0.796 0.000 0.190  -0.04
N 0.796 0.500 0.690  -0.04
C 0.962 0.000 0.143  0.07
C 0.962 0.500 0.643  0.07



No. 2
Material: Rb2FeIr
Method: DFT, PBE
State: optimized geometry

Results
Its total energy is -3.88 eV/atom. The calculation puts the energy above the lowest structure with this stoichiometry at 0.000 eV/atom.

Cell lengths 13.127, 13.127, 9.546 Å; angles 46.56, 46.56, 90.00 degrees
Last column: magnetic moment on the atom in μB.
Positions (direct):
Fe 0.250 0.750 0.500  2.54
Fe 0.500 0.500 0.000  2.54
Rb 0.406 0.125 0.250  0.00
Rb 0.875 0.656 0.750  0.00
Rb 0.375 0.594 0.750  0.00
Rb 0.344 0.625 0.250  0.00
Ir 0.000 0.000 0.000  0.45
Ir 0.750 0.250 0.500  0.45